Entry 1:
The following is a DFT calculation (GGA-PBE) of a relaxed ZrNbZnCo crystal.

a = 6.3791 Å, b = 6.3791 Å, c = 6.3791 Å
α = 90.00°, β = 90.00°, γ = 90.00°
Space group F-43m (No. 216)
One atom of each set of equivalent atoms:
Zr 0.0000 0.0000 0.0000 x4
Nb 0.2500 0.2500 0.2500 x4
Zn 0.0000 0.0000 0.5000 x4
Co 0.2500 0.2500 0.7500 x4

Computed properties:
- Calculated volume: 16.2 A^3/atom
- Formation enthalpy at 0 K: 0.183 eV/atom

Entry 2:
The following is a DFT calculation (GGA-PBE) of a relaxed Zr2NbCo crystal.

a = 6.5658 Å, b = 6.5658 Å, c = 6.5658 Å
α = 90.00°, β = 90.00°, γ = 90.00°
Space group F-43m (No. 216)
One atom of each set of equivalent atoms:
Zr 0.0000 0.0000 0.0000 x4
Zr 0.2500 0.2500 0.2500 x4
Nb 0.0000 0.0000 0.5000 x4
Co 0.2500 0.2500 0.7500 x4

Computed properties:
- Calculated volume: 17.7 A^3/atom
- Formation enthalpy at 0 K: 0.134 eV/atom

Entry 3:
The following is a DFT calculation (GGA-PBE) of a relaxed ZrNbCo2 crystal.

a = 6.1770 Å, b = 6.1770 Å, c = 6.1770 Å
α = 90.00°, β = 90.00°, γ = 90.00°
Space group F-43m (No. 216)
One atom of each set of equivalent atoms:
Zr 0.0000 0.0000 0.0000 x4
Nb 0.2500 0.2500 0.7500 x4
Co 0.0000 0.0000 0.5000 x4
Co 0.2500 0.2500 0.2500 x4

Computed properties:
- Calculated volume: 14.7 A^3/atom
- Formation enthalpy at 0 K: 0.099 eV/atom

Entry 4:
The following is a DFT calculation (GGA-PBE) of a relaxed ZrNbCo crystal.

a = 6.0715 Å, b = 6.0715 Å, c = 6.0715 Å
α = 90.00°, β = 90.00°, γ = 90.00°
Space group F-43m (No. 216)
One atom of each set of equivalent atoms:
Zr 0.0000 0.0000 0.0000 x4
Nb 0.0000 0.0000 0.5000 x4
Co 0.2500 0.2500 0.7500 x4

Computed properties:
- Calculated volume: 18.7 A^3/atom
- Formation enthalpy at 0 K: 0.157 eV/atom

Entry 5:
The following is a DFT calculation (GGA-PBE) of a relaxed NdCo5 crystal.

a = 4.9660 Å, b = 4.9660 Å, c = 3.9172 Å
α = 90.00°, β = 90.00°, γ = 120.00°
Space group P6/mmm (No. 191)
One atom of each set of equivalent atoms:
Nd 0.0000 0.0000 0.0000 x1
Co 0.0000 0.5000 0.5000 x3
Co 0.3333 0.6667 0.0000 x2

Computed properties:
- Calculated volume: 13.9 A^3/atom
- Formation enthalpy at 0 K: 0.090 eV/atom

Entry 6:
The following is a DFT calculation (GGA-PBE) of a relaxed Nd2Co3 crystal.

a = 4.9244 Å, b = 10.0112 Å, c = 7.5323 Å
α = 90.00°, β = 90.00°, γ = 90.00°
Space group Cmce (No. 64)
One atom of each set of equivalent atoms:
Nd 0.0000 0.1548 0.0931 x8
Co 0.0000 0.0000 0.5000 x4
Co 0.2500 0.0882 0.7500 x8

Computed properties:
- Calculated volume: 18.6 A^3/atom
- Formation enthalpy at 0 K: -0.064 eV/atom

Entry 7:
The following is a DFT calculation (GGA-PBE) of a relaxed NdCoNiP2 crystal.

a = 3.9186 Å, b = 3.9186 Å, c = 9.6135 Å
α = 90.00°, β = 90.00°, γ = 90.00°
Space group I-4m2 (No. 119)
One atom of each set of equivalent atoms:
Nd 0.0000 0.0000 0.0000 x2
Co 0.0000 0.5000 0.2500 x2
Ni 0.0000 0.5000 0.7500 x2
P 0.0000 0.0000 0.3695 x4

Computed properties:
- VASP energy: -6.609 eV/atom
- Calculated volume: 14.8 A^3/atom

What total magnetization values result from the calculations? In sequence: 8.01; 2.03; 3.32; 0.12; 0.11; 8.87; 1.00 μB/cell.